No. 1
## YZnGaAu3 (PBE)

Data for a geometry-optimized YZnGaAu3 structure.

```
YZnGaAu3
1.0
3.3837 -6.1377 0.0000
3.3837 6.1377 0.0000
0.0000 0.0000 5.9343
Y Zn Ga Au
2 2 2 6
Cartesian
3.3837 3.7235 4.4507
3.3837 -3.7235 1.4836
3.3837 0.8029 4.4507
3.3837 -0.8029 1.4836
3.3837 4.4464 1.4836
3.3837 -4.4464 4.4507
1.4311 0.0000 0.0000
1.4311 0.0000 2.9671
3.3837 1.9506 1.4836
3.3837 -1.9506 4.4507
5.3362 0.0000 0.0000
5.3362 0.0000 2.9671
```

Properties
Its space group is Cmcm, No. 63.

No. 2
## CePm6Ho3Er2 (PBE)

Data for a geometry-optimized CePm6Ho3Er2 structure.

```
CePm6Ho3Er2
1.0
3.1125 -5.3916 0.0000
3.1125 5.3916 0.0000
-2.0778 0.0000 11.6565
Ce Pm Ho Er
1 6 3 2
Cartesian
0.0000 0.0000 0.0000
1.0292 1.7875 2.9118
-0.0116 0.0000 8.7440
1.0292 -1.7875 2.9118
3.1179 1.7875 8.7447
4.1588 0.0000 2.9126
3.1179 -1.7875 8.7447
2.0736 3.5880 5.8283
2.0736 0.0000 5.8283
2.0736 -3.5880 5.8283
3.1125 1.7951 0.0000
3.1125 -1.7951 0.0000
```

Properties
Its space group is C2/m, No. 12.

Number 1: DOS at the Fermi energy 0.46 states/eV/atom, formation energy -346 meV/atom. Number 2: DOS at the Fermi energy 1.58 states/eV/atom, formation energy 38 meV/atom.